Al2Cd5Pd12 GGA-PBE relaxed; symmetry = C2/m, No. 12; DFT formation energy = -0.389 eV/atom
1.0
6.484 -3.834 0.000
6.484 3.834 0.000
-0.141 0.000 6.449
Al Cd Pd
2 5 12
Direct
0.217 0.783 0.000
0.783 0.217 0.000
0.202 0.202 0.982
0.258 0.258 0.427
0.500 0.500 0.500
0.742 0.742 0.573
0.798 0.798 0.018
0.049 0.049 0.291
0.082 0.681 0.344
0.157 0.539 0.758
0.319 0.918 0.656
0.410 0.410 0.109
0.461 0.843 0.242
0.539 0.157 0.758
0.590 0.590 0.891
0.681 0.082 0.344
0.843 0.461 0.242
0.918 0.319 0.656
0.951 0.951 0.709